A plane-wave DFT calculation with PBE was carried out for Y2Ag3 after structural relaxation.

- N(E_F): 3.5 states/eV/f.u.
- ΔE_f: -48 meV per atom
- Theoretical density: 6.3 Mg/m³
- Relative energy among the computed polymorphs: 0.259 eV per atom
- Total magnetic moment: 0.00 μB/f.u.

a = 5.020 Å, b = 5.020 Å, c = 6.089 Å
α = 90.00°, β = 90.00°, γ = 120.00°
Fractional positions:
Y: 0.333 0.667 0.798
Y: 0.667 0.333 0.202
Ag: 0.667 0.333 0.704
Ag: 0.000 0.000 0.000
Ag: 0.333 0.667 0.296

***

A plane-wave DFT calculation with PBE was carried out for Y4ZnAg after structural relaxation.

- N(E_F): 6.9 states/eV/f.u.
- ΔE_f: 14 meV per atom
- Theoretical density: 5.0 Mg/m³
- Relative energy among the computed polymorphs: 0.221 eV per atom
- Total magnetic moment: 0.00 μB/f.u.

a = 4.982 Å, b = 4.983 Å, c = 7.126 Å
α = 90.00°, β = 90.00°, γ = 90.00°
Fractional positions:
Y: 0.001 0.497 0.253
Y: 0.501 0.997 0.253
Y: 0.501 0.997 0.743
Y: 0.001 0.497 0.743
Zn: 0.001 0.997 0.498
Ag: 0.501 0.497 0.998

***

A plane-wave DFT calculation with PBE was carried out for Y2Zn3Ag after structural relaxation.

- N(E_F): 4.4 states/eV/f.u.
- ΔE_f: -363 meV per atom
- Theoretical density: 6.4 Mg/m³
- Total magnetic moment: 0.00 μB/f.u.

a = 5.727 Å, b = 5.727 Å, c = 8.645 Å
α = 104.38°, β = 104.38°, γ = 104.49°
Fractional positions:
Y: 0.747 0.747 0.000
Y: 0.253 0.253 0.000
Y: 0.750 0.250 0.500
Y: 0.250 0.750 0.500
Zn: 0.673 0.164 0.837
Zn: 0.837 0.837 0.673
Zn: 0.163 0.163 0.327
Zn: 0.164 0.673 0.837
Zn: 0.836 0.327 0.163
Zn: 0.327 0.836 0.163
Ag: 0.667 0.667 0.335
Ag: 0.333 0.333 0.665